Record 1
Sr4ZrPb | PBE | optimized geometry

The density of states at the Fermi level comes out at 30.36 states/eV/cell. The total magnetization is 4.054 μB/f.u. The energy relative to the elements is 3.59 eV per formula unit.

It has space group F-43m (No. 216), with a = 9.882 Å, b = 9.882 Å, c = 9.882 Å, α = 90.00°, β = 90.00° and γ = 90.00°. The asymmetric unit holds Sr at (0.125, 0.125, 0.125), Zr at (0.250, 0.250, 0.750) and Pb at (0.000, 0.000, 0.500).


Record 2
HoPaPt4 | PBE | optimized geometry

The density of states at the Fermi level comes out at 9.13 states/eV/cell. The total magnetization is 0.000 μB/f.u. The energy relative to the elements is -5.91 eV per formula unit.

It has space group F-43m (No. 216), with a = 7.682 Å, b = 7.682 Å, c = 7.682 Å, α = 90.00°, β = 90.00° and γ = 90.00°. The asymmetric unit holds Ho at (0.000, 0.000, 0.000), Pa at (0.250, 0.250, 0.750) and Pt at (0.125, 0.125, 0.375).


Record 3
HfTlPb3 | PBE | optimized geometry

The density of states at the Fermi level comes out at 1.88 states/eV/cell. For the energy above the lowest structure with this stoichiometry, the calculation gives 0 meV per atom. The total magnetization is 0.000 μB/f.u. The energy relative to the elements is 1.36 eV per formula unit.

It has space group Pm-3m (No. 221), with a = 5.669 Å, b = 5.669 Å, c = 5.669 Å, α = 90.00°, β = 90.00° and γ = 90.00°. The asymmetric unit holds Hf at (0.000, 0.000, 0.000), Tl at (0.500, 0.500, 0.500) and Pb at (0.000, 0.000, 0.500).


Record 4
LaCo3Pt | PBE | optimized geometry

The density of states at the Fermi level comes out at 4.31 states/eV/cell. For the energy above the lowest structure with this stoichiometry, the calculation gives 0 meV per atom. The total magnetization is 5.369 μB/f.u. The energy relative to the elements is 2.19 eV per formula unit.

It has space group Pm-3m (No. 221), with a = 4.674 Å, b = 4.674 Å, c = 4.674 Å, α = 90.00°, β = 90.00° and γ = 90.00°. The asymmetric unit holds La at (0.000, 0.000, 0.000), Co at (0.000, 0.500, 0.500) and Pt at (0.500, 0.500, 0.500).


Record 5
Li2Ca3Sn5 | PBE | optimized geometry

The density of states at the Fermi level comes out at 7.46 states/eV/cell. The total magnetization is 0.000 μB/f.u. The energy relative to the elements is -5.11 eV per formula unit.

It has space group P4/mbm (No. 127), with a = 10.649 Å, b = 10.649 Å, c = 4.485 Å, α = 90.00°, β = 90.00° and γ = 90.00°. The asymmetric unit holds Li at (0.120, 0.380, 0.000), Ca at (0.000, 0.000, 0.000), Ca at (0.175, 0.675, 0.000), Sn at (0.000, 0.500, 0.500) and Sn at (0.072, 0.213, 0.500).


Record 6
LiCeMgBe | PBE | optimized geometry

The density of states at the Fermi level comes out at 22.23 states/eV/cell. The total magnetization is 0.851 μB/f.u. The energy relative to the elements is 0.59 eV per formula unit.

It has space group F-43m (No. 216), with a = 6.802 Å, b = 6.802 Å, c = 6.802 Å, α = 90.00°, β = 90.00° and γ = 90.00°. The asymmetric unit holds Li at (0.000, 0.000, 0.000), Ce at (0.250, 0.250, 0.750), Mg at (0.250, 0.250, 0.250) and Be at (0.000, 0.000, 0.500).


Record 7
Rb2PmGaS4 | PBE | optimized geometry

The total magnetization is 0.000 μB/f.u. The value obtained for the uncorrected formation energy is -111.7 kJ/mol of atoms.

It has space group C2/c (No. 15), with a = 11.618 Å, b = 12.147 Å, c = 8.545 Å, α = 90.00°, β = 131.21° and γ = 90.00°. The asymmetric unit holds Rb at (0.000, 0.000, 0.000), Rb at (0.250, 0.250, 0.000), Pm at (0.000, 0.500, 0.000), Ga at (0.250, 0.250, 0.500), S at (0.062, 0.260, 0.511) and S at (0.210, 0.482, 0.444).


Record 8
CsHf2TeO8 | PBE | optimized geometry

The total magnetization is 0.955 μB/f.u. The value obtained for the uncorrected formation energy is -205.7 kJ/mol of atoms.

It has space group C2/m (No. 12), with a = 9.141 Å, b = 6.195 Å, c = 7.904 Å, α = 90.00°, β = 113.03° and γ = 90.00°. The asymmetric unit holds Cs at (0.000, 0.000, 0.000), Hf at (0.053, 0.500, 0.248), Te at (0.000, 0.000, 0.500), O at (0.020, 0.226, 0.681), O at (0.123, 0.500, 0.029) and O at (0.225, 0.000, 0.571).


Record 9
Ca6Ga5 | PBE | optimized geometry

The density of states at the Fermi level comes out at 15.46 states/eV/cell. The total magnetization is 0.000 μB/f.u. The energy relative to the elements is -4.29 eV per formula unit.

It has space group Immm (No. 71), with a = 5.142 Å, b = 7.418 Å, c = 15.483 Å, α = 90.00°, β = 90.00° and γ = 90.00°. The asymmetric unit holds Ca at (0.000, 0.248, 0.163), Ca at (0.000, 0.250, 0.500), Ga at (0.000, 0.000, 0.327), Ga at (0.000, 0.500, 0.000) and Ga at (0.000, 0.500, 0.327).


Record 10
Rb3Ca | PBE | optimized geometry

The density of states at the Fermi level comes out at 7.16 states/eV/cell. The total magnetization is 0.000 μB/f.u. The energy relative to the elements is 0.71 eV per formula unit.

It has space group P6_3/mmc (No. 194), with a = 9.4379 Å, b = 9.4379 Å, c = 7.7024 Å, α = 90.00°, β = 90.00° and γ = 120.00°. The asymmetric unit holds Rb at (0.1721, 0.3442, 0.2500) and Ca at (0.3333, 0.6667, 0.7500).


Record 11
TiCu2TePd | PBE | optimized geometry

The density of states at the Fermi level comes out at 10.31 states/eV/cell. The total magnetization is 0.002 μB/f.u. The value obtained for the uncorrected formation energy is 66.0 kJ/mol of atoms.

It has space group P4/mmm (No. 123), with a = 4.627 Å, b = 4.627 Å, c = 5.034 Å, α = 90.00°, β = 90.00° and γ = 90.00°. The asymmetric unit holds Ti at (0.000, 0.000, 0.000), Cu at (0.000, 0.500, 0.500), Te at (0.500, 0.500, 0.000) and Pd at (0.500, 0.500, 0.500).


Record 12
Rb4Y3PaSe8 | PBE | optimized geometry

The density of states at the Fermi level comes out at 30.11 states/eV/cell. The total magnetization is 1.845 μB/f.u. The value obtained for the uncorrected formation energy is -156.1 kJ/mol of atoms.

It has space group R-3m (No. 166, hexagonal axes), with a = 8.4956 Å, b = 8.4956 Å, c = 24.0743 Å, α = 90.00°, β = 90.00° and γ = 120.00°. The asymmetric unit holds Rb at (0.0000, 0.0000, 0.0000), Rb at (0.0000, 0.5000, 0.0000), Y at (0.0000, 0.5000, 0.5000), Pa at (0.0000, 0.0000, 0.5000), Se at (0.0000, 0.0000, 0.2321) and Se at (0.0000, 0.5000, 0.2326).


Number 1: calculated total energy -61.585 eV per cell. Number 2: calculated total energy -176.589 eV per cell. Number 3: calculated total energy -22.083 eV per cell. Number 4: calculated total energy -30.099 eV per cell. Number 5: calculated total energy -69.907 eV per cell. Number 6: calculated total energy -50.319 eV per cell. Number 7: calculated total energy -141.952 eV per cell. Number 8: calculated total energy -178.311 eV per cell. Number 9: calculated total energy -62.865 eV per cell. Number 10: calculated total energy -8.395 eV per cell. Number 11: calculated total energy -21.001 eV per cell. Number 12: calculated total energy -259.545 eV per cell.